A relaxed structure of Ca2SiAu, computed with PBE.

Lattice parameters (Å, degrees): 4.2635 4.2635 6.0853 90.00 90.00 90.00
Positions (direct):
Ca 0.0000 0.0000 0.0000
Ca 0.5000 0.5000 0.4482
Si 0.0000 0.0000 0.5016
Au 0.5000 0.5000 0.9416

N(E_F) (states/eV/cell): 3.6
ΔE_f (raw) (eV/atom): -0.341

A relaxed structure of CaSiAu, computed with PBE.

Lattice parameters (Å, degrees): 4.3770 4.3770 3.8986 90.00 90.00 120.00
Positions (direct):
Ca 0.0000 0.0000 0.0000
Si 0.3333 0.6667 0.5000
Au 0.6667 0.3333 0.5000

N(E_F) (states/eV/cell): 0.8
ΔE_f (raw) (eV/atom): -0.648

A relaxed structure of Ca2SiAu5, computed with PBE.

Lattice parameters (Å, degrees): 6.6027 6.6027 6.6027 123.81 123.62 83.68
Positions (direct):
Ca 0.0000 0.0000 0.0000
Ca 0.4977 0.4977 0.0000
Si 0.3426 0.8426 0.5000
Au 0.5168 0.0154 0.0173
Au 0.5168 0.4995 0.5014
Au 0.5801 0.0801 0.5000
Au 0.9981 0.0154 0.4986
Au 0.9981 0.4995 0.9828

N(E_F) (states/eV/cell): 2.6
ΔE_f (raw) (eV/atom): -0.514

A relaxed structure of Ca2SiAu, computed with PBE.

Lattice parameters (Å, degrees): 3.4592 3.5306 7.6902 90.00 90.00 90.00
Positions (direct):
Ca 0.0000 0.0000 0.2462
Ca 0.0000 0.0000 0.7538
Si 0.5000 0.5000 0.0000
Au 0.5000 0.5000 0.5000

N(E_F) (states/eV/cell): 0.9
ΔE_f (raw) (eV/atom): -0.547

A relaxed structure of CaSi3Au, computed with PBE.

Lattice parameters (Å, degrees): 4.9672 4.9672 4.9672 90.00 90.00 90.00
Positions (direct):
Ca 0.0000 0.0000 0.0000
Si 0.0000 0.5000 0.5000
Si 0.5000 0.0000 0.5000
Si 0.5000 0.5000 0.0000
Au 0.5000 0.5000 0.5000

N(E_F) (states/eV/cell): 2.9
ΔE_f (raw) (eV/atom): 0.521

A relaxed structure of CaSi4Au, computed with PBE.

Lattice parameters (Å, degrees): 5.3022 5.3022 5.3022 60.00 60.00 60.00
Positions (direct):
Ca 0.0000 0.0000 0.0000
Si 0.1284 0.6239 0.6239
Si 0.6239 0.1284 0.6239
Si 0.6239 0.6239 0.1284
Si 0.6239 0.6239 0.6239
Au 0.2500 0.2500 0.2500

N(E_F) (states/eV/cell): 2.0
ΔE_f (raw) (eV/atom): 0.072

ΔE_f (raw) of number 4 (Ca2SiAu)?
-0.547 eV/atom